Entry 1:
This record from Alexandria describes an optimized crystal structure of TlZnRe. The functional is PBEsol.

Geometry as CIF:
```
data_TlZnRe
_cell_length_a 4.5556
_cell_length_b 4.5556
_cell_length_c 2.7965
_cell_angle_alpha 90.00
_cell_angle_beta 90.00
_cell_angle_gamma 120.00
_space_group_name_H-M_alt 'P 3 m 1'
_space_group_IT_number 156
loop_
_space_group_symop_operation_xyz
'x,y,z'
'-y,x-y,z'
'-x+y,-x,z'
'-y,-x,z'
'-x+y,y,z'
'x,x-y,z'
loop_
_atom_site_label
_atom_site_type_symbol
_atom_site_fract_x
_atom_site_fract_y
_atom_site_fract_z
Tl1 Tl 0.0000 0.0000 0.0000
Zn1 Zn 0.3333 0.6667 0.2625
Re1 Re 0.6667 0.3333 0.5422
```

Output
DFT total energy: -15.01 eV per cell
energy relative to the lowest polymorph listed for this composition: 72 meV/atom
energy relative to the elements: 0.844 eV/atom
DOS at the Fermi energy: 1.59 states/eV/cell


Entry 2:
This record from Alexandria describes an optimized crystal structure of CdBiS2Cl. The functional is PBEsol.

Geometry as CIF:
```
data_CdBiS2Cl
_cell_length_a 9.356
_cell_length_b 3.950
_cell_length_c 12.525
_cell_angle_alpha 90.00
_cell_angle_beta 90.00
_cell_angle_gamma 90.00
_space_group_name_H-M_alt 'P n m a'
_space_group_IT_number 62
loop_
_space_group_symop_operation_xyz
'x,y,z'
'-x,-y,-z'
'-x+1/2,-y,z+1/2'
'x+1/2,y,-z+1/2'
'x+1/2,-y+1/2,-z+1/2'
'-x+1/2,y+1/2,z+1/2'
'-x,y+1/2,-z'
'x,-y+1/2,z'
loop_
_atom_site_label
_atom_site_type_symbol
_atom_site_fract_x
_atom_site_fract_y
_atom_site_fract_z
Cd1 Cd 0.003 0.250 0.240
Bi1 Bi 0.201 0.750 0.478
S1 S 0.053 0.250 0.611
S2 S 0.249 0.250 0.333
Cl1 Cl 0.073 0.750 0.104
```

Output
DFT total energy: -78.10 eV per cell
energy relative to the elements, uncorrected: -3.267 eV per formula unit
DOS at the Fermi energy: 0.00 states/eV/cell


Entry 3:
This record from Alexandria describes an optimized crystal structure of Mg2AlAg. The functional is PBEsol.

Geometry as CIF:
```
data_Mg2AlAg
_cell_length_a 3.060
_cell_length_b 3.942
_cell_length_c 6.073
_cell_angle_alpha 90.00
_cell_angle_beta 90.00
_cell_angle_gamma 90.00
_space_group_name_H-M_alt 'P m m m'
_space_group_IT_number 47
loop_
_space_group_symop_operation_xyz
'x,y,z'
'-x,-y,-z'
'-x,-y,z'
'x,y,-z'
'x,-y,-z'
'-x,y,z'
'-x,y,-z'
'x,-y,z'
loop_
_atom_site_label
_atom_site_type_symbol
_atom_site_fract_x
_atom_site_fract_y
_atom_site_fract_z
Mg1 Mg 0.000 0.000 0.244
Al1 Al 0.500 0.500 0.500
Ag1 Ag 0.500 0.500 0.000
```

Output
DFT total energy: -11.19 eV per cell
energy relative to the elements: -0.088 eV/atom
DOS at the Fermi energy: 1.29 states/eV/cell


Entry 4:
This record from Alexandria describes an optimized crystal structure of CsIn2GaIr. The functional is PBEsol.

Geometry as CIF:
```
data_CsIn2GaIr
_cell_length_a 6.102
_cell_length_b 6.102
_cell_length_c 5.073
_cell_angle_alpha 90.00
_cell_angle_beta 90.00
_cell_angle_gamma 90.00
_space_group_name_H-M_alt 'P 4/m m m'
_space_group_IT_number 123
_space_group_name_Hall '-P 4 2'
loop_
_atom_site_label
_atom_site_type_symbol
_atom_site_fract_x
_atom_site_fract_y
_atom_site_fract_z
Cs1 Cs 0.000 0.000 0.000
In1 In 0.000 0.500 0.000
Ga1 Ga 0.500 0.500 0.500
Ir1 Ir 0.000 0.000 0.500
```

Output
DFT total energy: -11.32 eV per cell
energy relative to the elements: 1.751 eV/atom
DOS at the Fermi energy: 3.81 states/eV/cell